# 1
Computed, not measured: a relaxed Rb2NbSeN crystal at the PBEsol level of DFT.

```
5
Lattice="3.821 0.000 0.000 0.000 6.302 0.000 0.000 0.000 6.302" Properties=species:S:1:pos:R:3 pbc="T T T"
Rb 0.000 0.000 3.151
Nb 1.911 3.151 3.151
N 0.000 0.000 0.000
Rb 0.000 3.151 0.000
Se 1.911 0.000 0.000
```

Computed properties:
Electronic total energy   -0.143 Ha/atom
Crystal system   tetragonal
Magnetization   4.80 Bohr magnetons per cell

=====

# 2
Computed, not measured: a relaxed RbNbTeN2 crystal at the PBEsol level of DFT.

```
5
Lattice="-1.146 1.279 3.895 -3.073 -2.945 0.064 3.945 -4.063 2.495" Properties=species:S:1:pos:R:3 pbc="T T T"
Rb 0.000 0.000 0.000
Nb -0.137 -2.864 3.227
N -1.537 -1.473 0.032
Te 1.973 -2.031 1.247
N -0.573 0.640 1.948
```

Computed properties:
Electronic total energy   -0.144 Ha/atom
Crystal system   tetragonal
Magnetization   0.10 Bohr magnetons per cell

=====

# 3
Computed, not measured: a relaxed Rb2ZrNbN crystal at the PBEsol level of DFT.

```
5
Lattice="3.954 0.000 0.000 0.000 7.077 0.000 0.000 0.000 7.077" Properties=species:S:1:pos:R:3 pbc="T T T"
Rb 0.000 0.000 3.539
N 1.977 0.000 0.000
Rb 0.000 3.539 0.000
Zr 0.000 0.000 0.000
Nb 1.977 3.539 3.539
```

Computed properties:
Electronic total energy   -0.174 Ha/atom
Crystal system   tetragonal
Magnetization   3.67 Bohr magnetons per cell

=====

N(E_F) values, unit states/eV/f.u., following the record order: 4.00; 3.37; 5.63.
Energy relative to the elements, uncorrected values, unit eV/atom, following the record order: 1.16; 2.58; 1.38.